Entry 1:
PBE-GGA NaSrLi2Zn, optimized geometry; crystal system = tetragonal; Fermi-level density of states = 3.6 states/eV/cell; total magnetization = 0.0 μB per formula unit; formation enthalpy at 0 K = 0.12 eV per atom; symmetry = No. 123; energy above the most stable polymorph in this dataset = 0.16 eV/f.u.; VASP energy = -1.50 eV/atom
1.0
5.298 0.000 0.000
0.000 5.298 0.000
0.000 0.000 5.968
Na Sr Li Zn
1 1 2 1
Direct
0.000 0.000 0.000
0.500 0.500 0.000
0.000 0.500 0.500
0.500 0.000 0.500
0.500 0.500 0.500

=====

Entry 2:
PBE-GGA CuCl5, optimized geometry; E_form (uncorrected) = 0.067 eV per atom; crystal system = hexagonal; Fermi-level density of states = 9.3 states/eV/cell; total magnetization = 0.0 μB per formula unit; symmetry = No. 189; energy above the most stable polymorph in this dataset = 1.41 eV/f.u.; VASP energy = -2.15 eV/atom
1.0
9.624 0.000 0.000
-4.812 8.334 0.000
0.000 0.000 2.503
Cu Cl
1 5
Direct
0.000 0.000 0.000
0.000 0.783 0.500
0.217 0.217 0.500
0.333 0.667 0.000
0.667 0.333 0.000
0.783 0.000 0.500